Record 1
Density functional theory data (PBE) for a relaxed Ga2Pd crystal.

Computed properties:
**E_form**: -0.42 eV/atom
**Calculated volume**: 15.807 Å³/atom

```
data_Ga2Pd
_space_group_name_H-M_alt 'I 4/m m m'
_space_group_IT_number 139
_space_group_name_Hall '-I 4 2'
_cell_length_a 3.4130
_cell_length_b 3.4130
_cell_length_c 8.1420
_cell_angle_alpha 90.00
_cell_angle_beta 90.00
_cell_angle_gamma 90.00
loop_
_atom_site_label
_atom_site_type_symbol
_atom_site_fract_x
_atom_site_fract_y
_atom_site_fract_z
Ga1 Ga 0.0000 0.0000 0.1630
Pd1 Pd 0.0000 0.0000 0.5000
```

Record 2
Density functional theory data (PBE) for a relaxed BSbTe2Pb crystal.

Computed properties:
**Energy relative to the elements, uncorrected**: 2.642 eV per formula unit
**Excess energy over the best structure of this formula in the dataset**: 0 meV/atom
**Calculated volume**: 25.073 Å³/atom

```
data_BSbTe2Pb
_space_group_name_H-M_alt 'P 4/m m m'
_space_group_IT_number 123
_space_group_name_Hall '-P 4 2'
_cell_length_a 5.0117
_cell_length_b 5.0117
_cell_length_c 4.9912
_cell_angle_alpha 90.00
_cell_angle_beta 90.00
_cell_angle_gamma 90.00
loop_
_atom_site_label
_atom_site_type_symbol
_atom_site_fract_x
_atom_site_fract_y
_atom_site_fract_z
B1 B 0.0000 0.0000 0.0000
Sb1 Sb 0.0000 0.0000 0.5000
Te1 Te 0.0000 0.5000 0.0000
Pb1 Pb 0.5000 0.5000 0.5000
```

Record 3
Density functional theory data (PBE) for a relaxed Co4AsOs crystal.

Computed properties:
**E_form**: 0.42 eV/atom
**Calculated volume**: 12.514 Å³/atom

```
data_Co4AsOs
_space_group_name_H-M_alt 'F -4 3 m'
_space_group_IT_number 216
_space_group_name_Hall 'F -4 2 3'
_cell_length_a 6.6968
_cell_length_b 6.6968
_cell_length_c 6.6968
_cell_angle_alpha 90.00
_cell_angle_beta 90.00
_cell_angle_gamma 90.00
loop_
_atom_site_label
_atom_site_type_symbol
_atom_site_fract_x
_atom_site_fract_y
_atom_site_fract_z
Co1 Co 0.1251 0.1251 0.1251
As1 As 0.2500 0.2500 0.7500
Os1 Os 0.0000 0.0000 0.5000
```

Record 4
Density functional theory data (PBE) for a relaxed TbCeTlIn crystal.

Computed properties:
**E_form**: -0.34 eV/atom
**Excess energy over the best structure of this formula in the dataset**: 0 meV/atom
**Calculated volume**: 27.914 Å³/atom

```
data_TbCeTlIn
_space_group_name_H-M_alt 'I -4 m 2'
_space_group_IT_number 119
_space_group_name_Hall 'I -4 -2'
_cell_length_a 5.0204
_cell_length_b 5.0204
_cell_length_c 8.8600
_cell_angle_alpha 90.00
_cell_angle_beta 90.00
_cell_angle_gamma 90.00
loop_
_atom_site_label
_atom_site_type_symbol
_atom_site_fract_x
_atom_site_fract_y
_atom_site_fract_z
Tb1 Tb 0.0000 0.0000 0.0000
Ce1 Ce 0.0000 0.0000 0.5000
Tl1 Tl 0.0000 0.5000 0.7500
In1 In 0.0000 0.5000 0.2500
```

Record 5
Density functional theory data (PBE) for a relaxed CdGa3Ag2 crystal.

Computed properties:
**E_form**: 0.10 eV/atom
**Excess energy over the best structure of this formula in the dataset**: 88 meV/atom
**Calculated volume**: 20.358 Å³/atom

```
data_CdGa3Ag2
_space_group_name_H-M_alt 'P 1 2/m 1'
_space_group_IT_number 10
_cell_length_a 5.2545
_cell_length_b 4.5676
_cell_length_c 5.3827
_cell_angle_alpha 90.00
_cell_angle_beta 109.00
_cell_angle_gamma 90.00
loop_
_space_group_symop_operation_xyz
'x,y,z'
'-x,-y,-z'
'-x,y,-z'
'x,-y,z'
loop_
_atom_site_label
_atom_site_type_symbol
_atom_site_fract_x
_atom_site_fract_y
_atom_site_fract_z
Cd1 Cd 0.0000 0.0000 0.0000
Ga1 Ga 0.0000 0.5000 0.5000
Ga2 Ga 0.5000 0.5000 0.0000
Ga3 Ga 0.5000 0.5000 0.5000
Ag1 Ag 0.3308 0.0000 0.6777
```

Record 6
Density functional theory data (PBE) for a relaxed Ac3Mg2Rh4 crystal.

Computed properties:
**E_form**: -0.57 eV/atom
**Calculated volume**: 23.705 Å³/atom

```
data_Ac3Mg2Rh4
_space_group_name_H-M_alt 'C 1 2/m 1'
_space_group_IT_number 12
_cell_length_a 10.9850
_cell_length_b 4.3010
_cell_length_c 9.1103
_cell_angle_alpha 90.00
_cell_angle_beta 97.55
_cell_angle_gamma 90.00
loop_
_space_group_symop_operation_xyz
'x,y,z'
'-x,-y,-z'
'-x,y,-z'
'x,-y,z'
'x+1/2,y+1/2,z'
'-x+1/2,-y+1/2,-z'
'-x+1/2,y+1/2,-z'
'x+1/2,-y+1/2,z'
loop_
_atom_site_label
_atom_site_type_symbol
_atom_site_fract_x
_atom_site_fract_y
_atom_site_fract_z
Ac1 Ac 0.0000 0.0000 0.0000
Ac2 Ac 0.1214 0.5000 0.3796
Mg1 Mg 0.1813 0.5000 0.7922
Rh1 Rh 0.0936 0.0000 0.6296
Rh2 Rh 0.2029 0.5000 0.0892
```

Record 7
Density functional theory data (PBE) for a relaxed TbAgCl4 crystal.

Computed properties:
**Energy relative to the elements, uncorrected**: -9.882 eV per formula unit
**Calculated volume**: 31.559 Å³/atom

```
data_TbAgCl4
_space_group_name_H-M_alt 'P 1 2/m 1'
_space_group_IT_number 10
_cell_length_a 6.5317
_cell_length_b 4.0176
_cell_length_c 7.2613
_cell_angle_alpha 90.00
_cell_angle_beta 96.42
_cell_angle_gamma 90.00
loop_
_space_group_symop_operation_xyz
'x,y,z'
'-x,-y,-z'
'-x,y,-z'
'x,-y,z'
loop_
_atom_site_label
_atom_site_type_symbol
_atom_site_fract_x
_atom_site_fract_y
_atom_site_fract_z
Tb1 Tb 0.0000 0.0000 0.0000
Ag1 Ag 0.0000 0.5000 0.5000
Cl1 Cl 0.1940 0.0000 0.6987
Cl2 Cl 0.2430 0.5000 0.1426
```

Record 8
Density functional theory data (PBE) for a relaxed CuRuN3 crystal.

Computed properties:
**Energy relative to the elements, uncorrected**: 7.541 eV per formula unit
**Calculated volume**: 11.276 Å³/atom

```
data_CuRuN3
_space_group_name_H-M_alt 'P m -3 m'
_space_group_IT_number 221
_space_group_name_Hall '-P 4 2 3'
_cell_length_a 3.8345
_cell_length_b 3.8345
_cell_length_c 3.8345
_cell_angle_alpha 90.00
_cell_angle_beta 90.00
_cell_angle_gamma 90.00
loop_
_atom_site_label
_atom_site_type_symbol
_atom_site_fract_x
_atom_site_fract_y
_atom_site_fract_z
Cu1 Cu 0.0000 0.0000 0.0000
Ru1 Ru 0.5000 0.5000 0.5000
N1 N 0.0000 0.5000 0.5000
```